Entry 1:
A crystal of BaSc2Ag relaxed with PBEsol, computed with meta-GGA SCAN.

Values from the calculation:
As for the calculated volume: 27.4 A^3/atom. The calculation puts the total DFT energy (no corrections) at -24.834 eV/atom.

Unit cell a=3.6489 b=3.6489 c=8.2233 alpha=90.00 beta=90.00 gamma=90.00
Site moments in Bohr magnetons follow the coordinates.
Fractional coordinates of all 4 atoms:
Ag: 0.0000 0.0000 0.4388  -0.01
Ba: 0.5000 0.5000 0.7196  0.01
Sc: 0.0000 0.0000 0.0613  0.30
Sc: 0.5000 0.5000 0.2803  0.20

***

Entry 2:
A crystal of Ba2ScAg relaxed with PBEsol, computed with meta-GGA SCAN.

Values from the calculation:
As for the calculated volume: 34.4 A^3/atom. The calculation puts the total DFT energy (no corrections) at -30.819 eV/atom.

Unit cell a=5.6701 b=5.8639 c=5.6701 alpha=118.91 beta=90.00 gamma=118.91
Fractional coordinates of all 4 atoms:
Ag: 0.0000 0.0000 0.0000
Ba: 0.7500 0.5000 0.2500
Ba: 0.2500 0.5000 0.7500
Sc: 0.5000 0.0000 0.5000

***

Entry 3:
A crystal of Ba2ScAg2 relaxed with PBEsol, computed with meta-GGA SCAN.

Values from the calculation:
As for the calculated volume: 33.3 A^3/atom. The calculation puts the total DFT energy (no corrections) at -30.857 eV/atom.

Unit cell a=5.0136 b=5.0136 c=7.5187 alpha=109.48 beta=109.48 gamma=90.00
Site moments in Bohr magnetons follow the coordinates.
Fractional coordinates of all 5 atoms:
Sc: 0.0000 0.0000 0.0000  0.79
Ba: 0.2500 0.7500 0.5000  0.11
Ba: 0.7500 0.2500 0.5000  0.11
Ag: 0.4041 0.4041 0.8081  0.03
Ag: 0.5959 0.5959 0.1919  0.03

***

Entry 4:
A crystal of Ba2ScAg relaxed with PBEsol, computed with meta-GGA SCAN.

Values from the calculation:
As for the calculated volume: 32.5 A^3/atom. The calculation puts the total DFT energy (no corrections) at -30.892 eV/atom.

Unit cell a=4.1429 b=5.5237 c=6.6494 alpha=114.54 beta=108.15 gamma=90.00
Fractional coordinates of all 4 atoms:
Ag: 0.0000 0.5000 0.0000
Ba: 0.7157 0.7157 0.4314
Ba: 0.2843 0.2843 0.5686
Sc: 0.5000 0.0000 0.0000

***

Entry 5:
A crystal of BaAg2Se2 relaxed with PBEsol, computed with meta-GGA SCAN.

Values from the calculation:
As for the calculated volume: 23.9 A^3/atom. The calculation puts the total DFT energy (no corrections) at -29.466 eV/atom. The uncorrected formation energy comes out at -472 kJ/mol of formula units.

Unit cell a=4.1623 b=4.1623 c=7.5001 alpha=106.11 beta=106.11 gamma=90.00
Fractional coordinates of all 5 atoms:
Se: 0.3782 0.3782 0.7564
Se: 0.6218 0.6218 0.2436
Ba: 0.0000 0.0000 0.0000
Ag: 0.2500 0.7500 0.5000
Ag: 0.7500 0.2500 0.5000

***

Entry 6:
A crystal of BaAgSe2 relaxed with PBEsol, computed with meta-GGA SCAN.

Values from the calculation:
As for the calculated volume: 41.7 A^3/atom. The calculation puts the total DFT energy (no corrections) at -28.571 eV/atom. The uncorrected formation energy comes out at -310 kJ/mol of formula units.

Unit cell a=5.2310 b=5.2310 c=7.6578 alpha=70.03 beta=70.03 gamma=60.00
Fractional coordinates of all 4 atoms:
Se: 0.8871 0.8871 0.3387
Se: 0.1129 0.1129 0.6613
Ba: 0.5000 0.5000 0.5000
Ag: 0.0000 0.0000 0.0000

***

Entry 7:
A crystal of BaAgSe2 relaxed with PBEsol, computed with meta-GGA SCAN.

Values from the calculation:
As for the calculated volume: 27.2 A^3/atom. The calculation puts the total DFT energy (no corrections) at -28.831 eV/atom. The uncorrected formation energy comes out at -410 kJ/mol of formula units.

Unit cell a=4.3453 b=4.3509 c=6.5046 alpha=109.54 beta=108.92 gamma=90.00
Fractional coordinates of all 4 atoms:
Ag: 0.6781 0.5622 0.1244
Ba: 0.9388 0.3120 0.6241
Se: 0.5867 0.9413 0.8826
Se: 0.2964 0.6844 0.3689

***

Entry 8:
A crystal of Ba2AgSe relaxed with PBEsol, computed with meta-GGA SCAN.

Values from the calculation:
As for the calculated volume: 36.6 A^3/atom. The calculation puts the total DFT energy (no corrections) at -33.708 eV/atom. The uncorrected formation energy comes out at -414 kJ/mol of formula units.

Unit cell a=4.1787 b=4.3020 c=8.6779 alpha=104.35 beta=103.93 gamma=90.00
Fractional coordinates of all 4 atoms:
Ag: 0.2035 0.7035 0.4069
Ba: 0.0372 0.0372 0.0744
Ba: 0.8018 0.3018 0.6035
Se: 0.4576 0.4576 0.9151

***

What did the first record say?
A crystal of BaSc2Ag relaxed with PBEsol, computed with meta-GGA SCAN.

Values from the calculation:
As for the calculated volume: 27.4 A^3/atom. The calculation puts the total DFT energy (no corrections) at -24.834 eV/atom.

Unit cell a=3.6489 b=3.6489 c=8.2233 alpha=90.00 beta=90.00 gamma=90.00
Site moments in Bohr magnetons follow the coordinates.
Fractional coordinates of all 4 atoms:
Ag: 0.0000 0.0000 0.4388  -0.01
Ba: 0.5000 0.5000 0.7196  0.01
Sc: 0.0000 0.0000 0.0613  0.30
Sc: 0.5000 0.5000 0.2803  0.20

***

> Look up the calculated volume of the fourth one.

32.5 A^3/atom

***

Repeat the fourth record exactly.
A crystal of Ba2ScAg relaxed with PBEsol, computed with meta-GGA SCAN.

Values from the calculation:
As for the calculated volume: 32.5 A^3/atom. The calculation puts the total DFT energy (no corrections) at -30.892 eV/atom.

Unit cell a=4.1429 b=5.5237 c=6.6494 alpha=114.54 beta=108.15 gamma=90.00
Fractional coordinates of all 4 atoms:
Ag: 0.0000 0.5000 0.0000
Ba: 0.7157 0.7157 0.4314
Ba: 0.2843 0.2843 0.5686
Sc: 0.5000 0.0000 0.0000